Record 1
# TlBi2RuO8

A geometry-optimized TlBi2RuO8 structure (PBE, the Alexandria database).

Lattice parameters (Å, degrees): 4.9837 6.9858 4.9949 90.00 90.40 90.00
Space group P2/m (No. 10)
One atom of each set of equivalent atoms:
Tl1 0.0000 0.0000 0.0000 x1
Bi1 0.5000 0.2560 0.5000 x2
Ru1 0.0000 0.5000 0.0000 x1
O1 0.1957 0.2867 0.8315 x4
O2 0.2523 0.5000 0.2892 x2
O3 0.3027 0.0000 0.3211 x2

## Properties
Magnetization ... 0.0486 μB/atom
Crystal system ... monoclinic
ΔE_f (raw) ... -0.862 eV per atom
Fermi-level density of states ... 5.5 states/eV per cell

=====

Record 2
# TmBiRuO6

A geometry-optimized TmBiRuO6 structure (PBE, the Alexandria database).

Lattice parameters (Å, degrees): 5.4805 5.4805 9.5764 90.00 90.00 120.00
Space group P-31c (No. 163)
One atom of each set of equivalent atoms:
Tm1 0.3333 0.6667 0.2500 x2
Bi1 0.0000 0.0000 0.0000 x2
Ru1 0.3333 0.6667 0.7500 x2
O1 0.0347 0.3744 0.6351 x12

## Properties
Magnetization ... 0.2168 μB/atom
Crystal system ... trigonal
ΔE_f (raw) ... -1.662 eV per atom
Fermi-level density of states ... 7.7 states/eV per cell

=====

Which value of Fermi-level density of states does entry 1 give?
5.5 states/eV per cell